Version i
# YMg6AlO8 (GGA-PBE, optimized geometry)
# Total moment, μB/f.u.: 0.0
# Space-group type: No. 123
data_YMg6AlO8
_space_group_name_H-M_alt 'P 1'
_space_group_IT_number 1
_space_group_name_Hall 'P 1'
_cell_length_a 4.441
_cell_length_b 4.441
_cell_length_c 9.072
_cell_angle_alpha 90.00
_cell_angle_beta 90.00
_cell_angle_gamma 90.00
loop_
_atom_site_label
_atom_site_fract_x
_atom_site_fract_y
_atom_site_fract_z
_atom_site_occupancy
Y1 0.000 0.000 0.000 1
Mg1 0.000 0.000 0.500 1
Mg2 0.000 0.500 0.270 1
Mg3 0.000 0.500 0.730 1
Mg4 0.500 0.000 0.270 1
Mg5 0.500 0.000 0.730 1
Mg6 0.500 0.500 0.500 1
Al1 0.500 0.500 0.000 1
O1 0.000 0.000 0.261 1
O2 0.000 0.000 0.739 1
O3 0.000 0.500 0.000 1
O4 0.000 0.500 0.500 1
O5 0.500 0.000 0.000 1
O6 0.500 0.000 0.500 1
O7 0.500 0.500 0.274 1
O8 0.500 0.500 0.726 1

=====

Version ii
# YMg6AlO8 (GGA-PBE, optimized geometry)
# Total moment, μB/f.u.: 0.0
# Space-group type: No. 123
data_YMg6AlO8
_space_group_name_H-M_alt 'P 1'
_space_group_IT_number 1
_space_group_name_Hall 'P 1'
_cell_length_a 4.483
_cell_length_b 4.483
_cell_length_c 8.894
_cell_angle_alpha 90.00
_cell_angle_beta 90.00
_cell_angle_gamma 90.00
loop_
_atom_site_label
_atom_site_fract_x
_atom_site_fract_y
_atom_site_fract_z
_atom_site_occupancy
Y1 0.000 0.000 0.000 1
Mg1 0.000 0.500 0.265 1
Mg2 0.000 0.500 0.735 1
Mg3 0.500 0.000 0.265 1
Mg4 0.500 0.000 0.735 1
Mg5 0.500 0.500 0.000 1
Mg6 0.500 0.500 0.500 1
Al1 0.000 0.000 0.500 1
O1 0.000 0.000 0.256 1
O2 0.000 0.000 0.744 1
O3 0.000 0.500 0.000 1
O4 0.000 0.500 0.500 1
O5 0.500 0.000 0.000 1
O6 0.500 0.000 0.500 1
O7 0.500 0.500 0.251 1
O8 0.500 0.500 0.749 1

=====

Most stable one: version i, least stable one: version ii.

=====

Version i
# Mg3AlOs (GGA-PBE, optimized geometry)
# Total moment, μB/f.u.: 0.0
# Space-group type: No. 221
data_Mg3AlOs
_space_group_name_H-M_alt 'P 1'
_space_group_IT_number 1
_space_group_name_Hall 'P 1'
_cell_length_a 4.983
_cell_length_b 4.983
_cell_length_c 4.983
_cell_angle_alpha 90.00
_cell_angle_beta 90.00
_cell_angle_gamma 90.00
loop_
_atom_site_label
_atom_site_fract_x
_atom_site_fract_y
_atom_site_fract_z
_atom_site_occupancy
Mg1 0.000 0.000 0.500 1
Mg2 0.000 0.500 0.000 1
Mg3 0.500 0.000 0.000 1
Al1 0.500 0.500 0.500 1
Os1 0.000 0.000 0.000 1

=====

Version ii
# Mg3AlOs (GGA-PBE, optimized geometry)
# Total moment, μB/f.u.: 2.9
# Space-group type: No. 221
data_Mg3AlOs
_space_group_name_H-M_alt 'P 1'
_space_group_IT_number 1
_space_group_name_Hall 'P 1'
_cell_length_a 4.944
_cell_length_b 4.944
_cell_length_c 4.944
_cell_angle_alpha 90.00
_cell_angle_beta 90.00
_cell_angle_gamma 90.00
loop_
_atom_site_label
_atom_site_fract_x
_atom_site_fract_y
_atom_site_fract_z
_atom_site_occupancy
Mg1 0.000 0.000 0.500 1
Mg2 0.000 0.500 0.000 1
Mg3 0.500 0.000 0.000 1
Al1 0.000 0.000 0.000 1
Os1 0.500 0.500 0.500 1

=====

Most stable one: version i, least stable one: version ii.

=====

Version i
# MgAlP2 (GGA-PBE, optimized geometry)
# Total moment, μB/f.u.: 0.0
# Space-group type: No. 123
data_MgAlP2
_space_group_name_H-M_alt 'P 1'
_space_group_IT_number 1
_space_group_name_Hall 'P 1'
_cell_length_a 3.661
_cell_length_b 3.661
_cell_length_c 5.191
_cell_angle_alpha 90.00
_cell_angle_beta 90.00
_cell_angle_gamma 90.00
loop_
_atom_site_label
_atom_site_fract_x
_atom_site_fract_y
_atom_site_fract_z
_atom_site_occupancy
Mg1 0.000 0.000 0.000 1
Al1 0.500 0.500 0.500 1
P1 0.000 0.000 0.500 1
P2 0.500 0.500 0.000 1

=====

Version ii
# MgAlP2 (GGA-PBE, optimized geometry)
# Total moment, μB/f.u.: 0.0
# Space-group type: No. 12
data_MgAlP2
_space_group_name_H-M_alt 'P 1'
_space_group_IT_number 1
_space_group_name_Hall 'P 1'
_cell_length_a 5.690
_cell_length_b 6.989
_cell_length_c 3.627
_cell_angle_alpha 90.00
_cell_angle_beta 109.05
_cell_angle_gamma 90.00
loop_
_atom_site_label
_atom_site_fract_x
_atom_site_fract_y
_atom_site_fract_z
_atom_site_occupancy
Mg1 0.000 0.000 0.000 1
Mg2 0.500 0.500 0.000 1
Al1 0.000 0.500 0.000 1
Al2 0.500 0.000 0.000 1
P1 0.250 0.250 0.500 1
P2 0.250 0.750 0.500 1
P3 0.750 0.250 0.500 1
P4 0.750 0.750 0.500 1

=====

Version iii
# MgAlP2 (GGA-PBE, optimized geometry)
# Total moment, μB/f.u.: 0.0
# Space-group type: No. 71
data_MgAlP2
_space_group_name_H-M_alt 'P 1'
_space_group_IT_number 1
_space_group_name_Hall 'P 1'
_cell_length_a 3.664
_cell_length_b 5.209
_cell_length_c 7.250
_cell_angle_alpha 90.00
_cell_angle_beta 90.00
_cell_angle_gamma 90.00
loop_
_atom_site_label
_atom_site_fract_x
_atom_site_fract_y
_atom_site_fract_z
_atom_site_occupancy
Mg1 0.000 0.000 0.000 1
Mg2 0.500 0.500 0.500 1
Al1 0.000 0.000 0.500 1
Al2 0.500 0.500 0.000 1
P1 0.000 0.500 0.220 1
P2 0.000 0.500 0.780 1
P3 0.500 0.000 0.280 1
P4 0.500 0.000 0.720 1

=====

Version iv
# MgAlP2 (GGA-PBE, optimized geometry)
# Total moment, μB/f.u.: 0.0
# Space-group type: No. 160
data_MgAlP2
_space_group_name_H-M_alt 'P 1'
_space_group_IT_number 1
_space_group_name_Hall 'P 1'
_cell_length_a 3.022
_cell_length_b 3.022
_cell_length_c 28.520
_cell_angle_alpha 90.00
_cell_angle_beta 90.00
_cell_angle_gamma 120.00
loop_
_atom_site_label
_atom_site_fract_x
_atom_site_fract_y
_atom_site_fract_z
_atom_site_occupancy
Mg1 0.000 0.000 0.000 1
Mg2 0.333 0.667 0.667 1
Mg3 0.667 0.333 0.333 1
Al1 0.000 0.000 0.248 1
Al2 0.333 0.667 0.915 1
Al3 0.667 0.333 0.582 1
P1 0.000 0.000 0.518 1
P2 0.000 0.000 0.735 1
P3 0.333 0.667 0.185 1
P4 0.333 0.667 0.401 1
P5 0.667 0.333 0.068 1
P6 0.667 0.333 0.851 1

=====

Most stable one: version i, least stable one: version iv.

=====

Version i
# MgAlP2 (GGA-PBE, optimized geometry)
# Total moment, μB/f.u.: 0.0
# Space-group type: No. 216
data_MgAlP2
_space_group_name_H-M_alt 'P 1'
_space_group_IT_number 1
_space_group_name_Hall 'P 1'
_cell_length_a 6.460
_cell_length_b 6.460
_cell_length_c 6.460
_cell_angle_alpha 90.00
_cell_angle_beta 90.00
_cell_angle_gamma 90.00
loop_
_atom_site_label
_atom_site_fract_x
_atom_site_fract_y
_atom_site_fract_z
_atom_site_occupancy
Mg1 0.000 0.000 0.000 1
Mg2 0.000 0.500 0.500 1
Mg3 0.500 0.000 0.500 1
Mg4 0.500 0.500 0.000 1
Al1 0.250 0.250 0.250 1
Al2 0.250 0.750 0.750 1
Al3 0.750 0.250 0.750 1
Al4 0.750 0.750 0.250 1
P1 0.000 0.000 0.500 1
P2 0.000 0.500 0.000 1
P3 0.250 0.250 0.750 1
P4 0.250 0.750 0.250 1
P5 0.500 0.000 0.000 1
P6 0.500 0.500 0.500 1
P7 0.750 0.250 0.250 1
P8 0.750 0.750 0.750 1

=====

Version ii
# MgAlP2 (GGA-PBE, optimized geometry)
# Total moment, μB/f.u.: 0.0
# Space-group type: No. 123
data_MgAlP2
_space_group_name_H-M_alt 'P 1'
_space_group_IT_number 1
_space_group_name_Hall 'P 1'
_cell_length_a 4.374
_cell_length_b 4.374
_cell_length_c 3.400
_cell_angle_alpha 90.00
_cell_angle_beta 90.00
_cell_angle_gamma 90.00
loop_
_atom_site_label
_atom_site_fract_x
_atom_site_fract_y
_atom_site_fract_z
_atom_site_occupancy
Mg1 0.000 0.000 0.000 1
Al1 0.500 0.500 0.000 1
P1 0.000 0.500 0.500 1
P2 0.500 0.000 0.500 1

=====

Most stable one: version ii, least stable one: version i.

=====

Version i
# Mg2AlP (GGA-PBE, optimized geometry)
# Total moment, μB/f.u.: 0.0
# Space-group type: No. 71
data_Mg2AlP
_space_group_name_H-M_alt 'P 1'
_space_group_IT_number 1
_space_group_name_Hall 'P 1'
_cell_length_a 3.811
_cell_length_b 4.524
_cell_length_c 8.473
_cell_angle_alpha 90.00
_cell_angle_beta 90.00
_cell_angle_gamma 90.00
loop_
_atom_site_label
_atom_site_fract_x
_atom_site_fract_y
_atom_site_fract_z
_atom_site_occupancy
Mg1 0.000 0.000 0.230 1
Mg2 0.000 0.000 0.770 1
Mg3 0.500 0.500 0.270 1
Mg4 0.500 0.500 0.730 1
Al1 0.000 0.500 0.000 1
Al2 0.500 0.000 0.500 1
P1 0.000 0.500 0.500 1
P2 0.500 0.000 0.000 1

=====

Version ii
# Mg2AlP (GGA-PBE, optimized geometry)
# Total moment, μB/f.u.: 0.0
# Space-group type: No. 216
data_Mg2AlP
_space_group_name_H-M_alt 'P 1'
_space_group_IT_number 1
_space_group_name_Hall 'P 1'
_cell_length_a 6.740
_cell_length_b 6.740
_cell_length_c 6.740
_cell_angle_alpha 90.00
_cell_angle_beta 90.00
_cell_angle_gamma 90.00
loop_
_atom_site_label
_atom_site_fract_x
_atom_site_fract_y
_atom_site_fract_z
_atom_site_occupancy
Mg1 0.000 0.000 0.000 1
Mg2 0.000 0.500 0.500 1
Mg3 0.250 0.250 0.250 1
Mg4 0.250 0.750 0.750 1
Mg5 0.500 0.000 0.500 1
Mg6 0.500 0.500 0.000 1
Mg7 0.750 0.250 0.750 1
Mg8 0.750 0.750 0.250 1
Al1 0.000 0.000 0.500 1
Al2 0.000 0.500 0.000 1
Al3 0.500 0.000 0.000 1
Al4 0.500 0.500 0.500 1
P1 0.250 0.250 0.750 1
P2 0.250 0.750 0.250 1
P3 0.750 0.250 0.250 1
P4 0.750 0.750 0.750 1

=====

Version iii
# Mg2AlP (GGA-PBE, optimized geometry)
# Total moment, μB/f.u.: 0.0
# Space-group type: No. 99
data_Mg2AlP
_space_group_name_H-M_alt 'P 1'
_space_group_IT_number 1
_space_group_name_Hall 'P 1'
_cell_length_a 3.609
_cell_length_b 3.609
_cell_length_c 5.633
_cell_angle_alpha 90.00
_cell_angle_beta 90.00
_cell_angle_gamma 90.00
loop_
_atom_site_label
_atom_site_fract_x
_atom_site_fract_y
_atom_site_fract_z
_atom_site_occupancy
Mg1 0.000 0.000 0.000 1
Mg2 0.500 0.500 0.280 1
Al1 0.500 0.500 0.748 1
P1 0.000 0.000 0.526 1

=====

Most stable one: version i, least stable one: version ii.